# 1
Density functional theory data (PBE-GGA) for Rb4IClO after structural relaxation.

Results
electronic total energy: -3.1241 eV/atom
size of the total moment: 0.0 μB per cell
formation energy from raw total energies: -1.3777 eV/atom

```
Rb4IClO
1.0
3.931 -8.882 0.000
3.931 8.882 0.000
0.000 0.000 7.887
Rb I Cl O
8 2 2 2
Direct
0.000 0.500 0.000
0.000 0.500 0.500
0.092 0.908 0.750
0.397 0.603 0.750
0.500 0.000 0.000
0.500 0.000 0.500
0.603 0.397 0.250
0.908 0.092 0.250
0.398 0.602 0.250
0.602 0.398 0.750
0.114 0.886 0.250
0.886 0.114 0.750
0.246 0.754 0.750
0.754 0.246 0.250
```

---

# 2
Density functional theory data (PBE-GGA) for Rb2I6ClO after structural relaxation.

Results
electronic total energy: -2.1608 eV/atom
size of the total moment: 0.0 μB per cell
formation energy from raw total energies: -0.3567 eV/atom

```
Rb2I6ClO
1.0
-3.930 3.930 6.008
3.930 -3.930 6.008
3.930 3.930 -6.008
Rb I Cl O
2 6 1 1
Direct
0.250 0.750 0.500
0.750 0.250 0.500
0.210 0.210 0.000
0.243 0.243 0.486
0.243 0.757 0.000
0.757 0.243 0.000
0.757 0.757 0.514
0.790 0.790 0.000
0.500 0.500 0.000
0.000 0.000 0.000
```

---

# 3
Density functional theory data (PBE-GGA) for Rb7ICl2O2 after structural relaxation.

Results
electronic total energy: -3.1568 eV/atom
size of the total moment: 0.1 μB per cell
formation energy from raw total energies: -1.3291 eV/atom

```
Rb7ICl2O2
1.0
-2.932 12.181 3.317
2.932 -12.181 3.317
2.932 12.181 -3.317
Rb I Cl O
7 1 2 2
Direct
0.000 0.000 0.000
0.043 0.430 0.613
0.151 0.937 0.214
0.381 0.484 0.897
0.588 0.484 0.103
0.722 0.937 0.786
0.817 0.430 0.387
0.385 0.885 0.500
0.196 0.433 0.763
0.670 0.433 0.237
0.772 0.877 0.894
0.983 0.877 0.106
```

---

# 4
Density functional theory data (PBE-GGA) for Rb6I3Cl2O after structural relaxation.

Results
electronic total energy: -3.0515 eV/atom
size of the total moment: 1.0 μB per cell
formation energy from raw total energies: -1.4592 eV/atom

```
Rb6I3Cl2O
1.0
4.279 -7.398 0.000
4.279 7.398 0.000
-2.862 0.000 8.029
Rb I Cl O
6 3 2 1
Direct
0.070 0.389 0.211
0.249 0.249 0.786
0.389 0.070 0.211
0.611 0.930 0.789
0.751 0.751 0.214
0.930 0.611 0.789
0.170 0.830 0.500
0.500 0.500 0.500
0.830 0.170 0.500
0.334 0.666 0.000
0.666 0.334 0.000
0.000 0.000 0.000
```

---

# 5
Density functional theory data (PBE-GGA) for RbIClO2 after structural relaxation.

Results
electronic total energy: -2.2059 eV/atom
size of the total moment: 3.1 μB per cell
formation energy from raw total energies: 0.6502 eV/atom

```
RbIClO2
1.0
4.863 0.000 0.000
0.000 4.863 0.000
0.000 0.000 8.060
Rb I Cl O
1 1 1 2
Direct
0.000 0.000 0.000
0.000 0.000 0.500
0.500 0.500 0.500
0.000 0.500 0.000
0.500 0.000 0.000
```

---

# 6
Density functional theory data (PBE-GGA) for Rb9I3ClO2 after structural relaxation.

Results
electronic total energy: -2.8875 eV/atom
size of the total moment: 0.0 μB per cell
formation energy from raw total energies: -1.2127 eV/atom

```
Rb9I3ClO2
1.0
8.372 0.000 0.000
-4.186 7.251 0.000
0.000 0.000 10.375
Rb I Cl O
9 3 1 2
Direct
0.000 0.500 0.000
0.179 0.358 0.309
0.179 0.821 0.309
0.358 0.179 0.691
0.500 0.000 0.000
0.500 0.500 0.000
0.642 0.821 0.309
0.821 0.179 0.691
0.821 0.642 0.691
0.000 0.000 0.000
0.333 0.667 0.664
0.667 0.333 0.336
0.000 0.000 0.500
0.333 0.667 0.161
0.667 0.333 0.839
```

---

# 7
Density functional theory data (PBE-GGA) for S2IClO after structural relaxation.

Results
electronic total energy: -1.8679 eV/atom
size of the total moment: 0.0 μB per cell
formation energy from raw total energies: 1.4541 eV/atom

```
S2IClO
1.0
5.112 0.000 0.000
0.000 5.112 0.000
0.000 0.000 5.240
S I Cl O
2 1 1 1
Direct
0.000 0.500 0.000
0.500 0.000 0.000
0.000 0.000 0.000
0.000 0.000 0.500
0.500 0.500 0.500
```

---

# 8
Density functional theory data (PBE-GGA) for S2IClO after structural relaxation.

Results
electronic total energy: -2.4001 eV/atom
size of the total moment: 0.0 μB per cell
formation energy from raw total energies: 0.9218 eV/atom

```
S2IClO
1.0
4.450 0.000 0.000
0.000 4.450 0.000
0.000 0.000 4.625
S I Cl O
2 1 1 1
Direct
0.000 0.500 0.000
0.500 0.000 0.000
0.000 0.000 0.500
0.500 0.500 0.500
0.500 0.500 0.000
```